{"formula": "ZrTa4Te8", "functional": "GGA-PBE", "state": "relaxed", "lattice_angstrom": [[3.836, 2.215, 6.874], [-3.836, 2.215, 6.874], [0.000, -4.429, 6.874]], "species": ["Zr", "Ta", "Ta", "Ta", "Ta", "Te", "Te", "Te", "Te", "Te", "Te", "Te", "Te"], "fractional_positions": [[0.000, 0.000, 0.000], [0.000, 0.000, 0.500], [0.000, 0.500, 0.000], [0.500, 0.000, 0.000], [0.500, 0.500, 0.500], [0.252, 0.252, 0.252], [0.254, 0.254, 0.735], [0.254, 0.735, 0.254], [0.265, 0.746, 0.746], [0.735, 0.254, 0.254], [0.746, 0.265, 0.746], [0.746, 0.746, 0.265], [0.748, 0.748, 0.748]], "energy_ev_per_atom": -6.456, "sg": "R-3m (166)", "crystal_system": "trigonal", "m_tot_mub_per_cell": 0.0, "raw_formation_energy_ev_per_atom": -0.218}

=====

{"formula": "ZrTa2Te", "functional": "GGA-PBE", "state": "relaxed", "lattice_angstrom": [[-2.052, 2.052, 10.332], [2.052, -2.052, 10.332], [2.052, 2.052, -10.332]], "species": ["Zr", "Zr", "Ta", "Ta", "Ta", "Ta", "Te", "Te"], "fractional_positions": [[0.000, 0.000, 0.000], [0.750, 0.250, 0.500], [0.129, 0.625, 0.004], [0.375, 0.379, 0.504], [0.621, 0.125, 0.996], [0.875, 0.871, 0.496], [0.250, 0.750, 0.500], [0.500, 0.500, 0.000]], "energy_ev_per_atom": -8.496, "sg": "I-42d (122)", "crystal_system": "tetragonal", "m_tot_mub_per_cell": 0.0, "raw_formation_energy_ev_per_atom": 0.353}

=====

{"formula": "ZrTaTe", "functional": "GGA-PBE", "state": "relaxed", "lattice_angstrom": [[-1.820, 1.820, 4.762], [1.820, -1.820, 4.762], [1.820, 1.820, -4.762]], "species": ["Zr", "Ta", "Te"], "fractional_positions": [[0.000, 0.000, 0.000], [0.334, 0.334, 0.000], [0.678, 0.678, 0.000]], "energy_ev_per_atom": -7.907, "sg": "I4mm (107)", "crystal_system": "tetragonal", "m_tot_mub_per_cell": 0.0, "raw_formation_energy_ev_per_atom": -0.060, "polymorph_energy_ev_per_atom": 0.4146}

=====

{"formula": "ZrTa2Te", "functional": "GGA-PBE", "state": "relaxed", "lattice_angstrom": [[1.651, 0.953, 8.984], [-1.651, 0.953, 8.984], [0.000, -1.906, 8.984]], "species": ["Zr", "Ta", "Ta", "Te"], "fractional_positions": [[0.000, 0.000, 0.000], [0.247, 0.247, 0.247], [0.753, 0.753, 0.753], [0.500, 0.500, 0.500]], "energy_ev_per_atom": -8.561, "sg": "R-3m (166)", "crystal_system": "trigonal", "m_tot_mub_per_cell": 0.0, "raw_formation_energy_ev_per_atom": 0.288}